A geometry-optimized PrAg2Sn2 structure. Source: the Alexandria database, functional PBE.

a b c (Å): 11.445 4.780 9.877
angles (deg): 90.00 117.79 90.00
Space group C2/m (No. 12)
One atom of each set of equivalent atoms:
Pr: 0.179 0.000 0.202 x4
Ag: 0.046 0.500 0.382 x4
Ag: 0.114 0.000 0.801 x4
Sn: 0.094 0.500 0.942 x4
Sn: 0.165 0.000 0.541 x4

Computed properties:
**Fermi-level density of states**: 7.4 states/eV per cell
**Calculated total energy**: -20.4 eV/f.u.
**Energy of formation from the pure elements**: -0.38 eV per atom